No. 1
The following is a DFT calculation (PBE-GGA) of BaBeNb3 after structural relaxation.

Summary:
**E above lowest polymorph**: 1754 meV/atom
**D(E_F)**: 5.39 states/eV per cell
**Electronic total energy**: -4.355 eV/atom
**Symmetry**: Pm-3m
**V**: 128 Å³ per cell

Structure (POSCAR):
```
BaBeNb3
1.0
-0.194 0.167 5.028
1.713 -4.728 0.223
4.730 1.720 0.125
Be Nb Ba
1 3 1
direct
0.500 0.500 0.500 Be
0.000 0.500 0.000 Nb
0.000 0.000 0.500 Nb
0.500 0.000 0.000 Nb
0.000 0.000 0.000 Ba
```


No. 2
The following is a DFT calculation (PBE-GGA) of BaBeNb2 after structural relaxation.

Summary:
**D(E_F)**: 13.78 states/eV per cell
**Electronic total energy**: -5.325 eV/atom
**Symmetry**: I-42d
**V**: 205 Å³ per cell

Structure (POSCAR):
```
BaBeNb2
1.0
4.617 0.000 0.000
0.000 4.617 0.000
2.309 2.309 9.610
Be Nb Ba
2 4 2
direct
0.500 0.500 0.000 Be
0.250 0.750 0.500 Be
0.470 0.125 0.250 Nb
0.280 0.625 0.250 Nb
0.375 0.530 0.750 Nb
0.875 0.720 0.750 Nb
0.000 0.000 0.000 Ba
0.750 0.250 0.500 Ba
```


No. 3
The following is a DFT calculation (PBE-GGA) of BaBeNb3 after structural relaxation.

Summary:
**E above lowest polymorph**: 0 meV/atom
**D(E_F)**: 9.64 states/eV per cell
**Electronic total energy**: -6.110 eV/atom
**Symmetry**: Pm-3m
**V**: 106 Å³ per cell

Structure (POSCAR):
```
BaBeNb3
1.0
4.736 0.000 0.000
0.000 4.736 0.000
0.000 0.000 4.736
Be Nb Ba
1 3 1
direct
0.000 0.000 0.000 Be
0.000 0.500 0.000 Nb
0.000 0.000 0.500 Nb
0.500 0.000 0.000 Nb
0.500 0.500 0.500 Ba
```


no.,total magnetization (μB/f.u.)
1,0.0
2,0.0
3,0.7